VASP calculation (GGA+U) on crystalline K2MnAgO4 at its relaxed geometry.

Structure (POSCAR):
```
K2MnAgO4
1.0
-3.122 3.122 3.560
3.122 -3.122 3.560
3.122 3.122 -3.560
K Mn Ag O
2 1 1 4
Direct
0.000 0.000 0.000
0.750 0.250 0.500
0.250 0.750 0.500
0.500 0.500 0.000
0.252 0.707 0.181
0.293 0.473 0.545
0.527 0.071 0.819
0.929 0.748 0.455
```

Output
The space group is I-4 (82). The value obtained for the uncorrected energy is -41.2 eV for the cell shown. As for the magnetic moment: 2.0 μB/f.u.